A relaxed structure of Be2InCl. Source: Alexandria, functional PBE-GGA.

Summary:
Raw total energy, eV per cell: -17.49
Energy relative to the elements, uncorrected, eV/f.u.: 3.29

```
data_Be2InCl
_chemical_formula_sum 'Be4 In2 Cl2'
_space_group_name_H-M_alt 'I 4/m m m'
_space_group_IT_number 139
_space_group_name_Hall '-I 4 2'
_cell_length_a 4.136
_cell_length_b 4.136
_cell_length_c 8.549
_cell_angle_alpha 90.00
_cell_angle_beta 90.00
_cell_angle_gamma 90.00
loop_
_atom_site_label
_atom_site_type_symbol
_atom_site_fract_x
_atom_site_fract_y
_atom_site_fract_z
Be1 Be 0.000 0.500 0.250
In1 In 0.000 0.000 0.000
Cl1 Cl 0.000 0.000 0.500
```

=====

A relaxed structure of ScCdB. Source: Alexandria, functional PBE-GGA.

Summary:
Raw total energy, eV per cell: -30.79
DFT formation energy, eV per atom: -0.490

```
data_ScCdB
_chemical_formula_sum 'Sc2 Cd2 B2'
_space_group_name_H-M_alt 'P -3 m 1'
_space_group_IT_number 164
_space_group_name_Hall '-P 3 2"'
_cell_length_a 3.1819
_cell_length_b 3.1819
_cell_length_c 11.1227
_cell_angle_alpha 90.00
_cell_angle_beta 90.00
_cell_angle_gamma 120.00
loop_
_atom_site_label
_atom_site_type_symbol
_atom_site_fract_x
_atom_site_fract_y
_atom_site_fract_z
Sc1 Sc 0.0000 0.0000 0.1532
Cd1 Cd 0.3333 0.6667 0.6155
B1 B 0.3333 0.6667 0.0006
```

=====

A relaxed structure of Gd2OsI. Source: Alexandria, functional PBE-GGA.

Summary:
Raw total energy, eV per cell: -129.16
Energy relative to the elements, uncorrected, eV/f.u.: -2.11

```
data_Gd2OsI
_chemical_formula_sum 'Gd6 Os3 I3'
_space_group_name_H-M_alt 'R -3 m'
_space_group_IT_number 166
_space_group_name_Hall '-R 3 2"'
_cell_length_a 4.1228
_cell_length_b 4.1228
_cell_length_c 23.7318
_cell_angle_alpha 90.00
_cell_angle_beta 90.00
_cell_angle_gamma 120.00
loop_
_atom_site_label
_atom_site_type_symbol
_atom_site_fract_x
_atom_site_fract_y
_atom_site_fract_z
Gd1 Gd 0.0000 0.0000 0.2280
Os1 Os 0.0000 0.0000 0.5000
I1 I 0.0000 0.0000 0.0000
```

=====

A relaxed structure of MgRhI2N. Source: Alexandria, functional PBE-GGA.

Summary:
Raw total energy, eV per cell: -19.38
Energy relative to the elements, uncorrected, eV/f.u.: 0.99

```
data_MgRhI2N
_chemical_formula_sum 'Mg1 Rh1 I2 N1'
_space_group_name_H-M_alt 'P 4/m m m'
_space_group_IT_number 123
_space_group_name_Hall '-P 4 2'
_cell_length_a 5.682
_cell_length_b 5.682
_cell_length_c 3.733
_cell_angle_alpha 90.00
_cell_angle_beta 90.00
_cell_angle_gamma 90.00
loop_
_atom_site_label
_atom_site_type_symbol
_atom_site_fract_x
_atom_site_fract_y
_atom_site_fract_z
Mg1 Mg 0.000 0.000 0.000
Rh1 Rh 0.500 0.500 0.500
I1 I 0.000 0.500 0.500
N1 N 0.500 0.500 0.000
```

=====

A relaxed structure of MgSc2Se4. Source: Alexandria, functional PBE-GGA.

Summary:
Raw total energy, eV per cell: -155.32
Energy relative to the elements, uncorrected, eV/f.u.: -10.64

```
data_MgSc2Se4
_chemical_formula_sum 'Mg4 Sc8 Se16'
_space_group_name_H-M_alt 'I -4 2 d'
_space_group_IT_number 122
_space_group_name_Hall 'I -4 2bw'
_cell_length_a 9.231
_cell_length_b 9.231
_cell_length_c 7.874
_cell_angle_alpha 90.00
_cell_angle_beta 90.00
_cell_angle_gamma 90.00
loop_
_atom_site_label
_atom_site_type_symbol
_atom_site_fract_x
_atom_site_fract_y
_atom_site_fract_z
Mg1 Mg 0.000 0.000 0.000
Sc1 Sc 0.236 0.250 0.625
Se1 Se 0.049 0.237 0.363
```

=====

A relaxed structure of Sc5Be. Source: Alexandria, functional PBE-GGA.

Summary:
Raw total energy, eV per cell: -34.40
DFT formation energy, eV per atom: 0.164

```
data_Sc5Be
_chemical_formula_sum 'Sc5 Be1'
_space_group_name_H-M_alt 'P -6 2 m'
_space_group_IT_number 189
_space_group_name_Hall 'P -6 -2'
_cell_length_a 5.5488
_cell_length_b 5.5488
_cell_length_c 4.8708
_cell_angle_alpha 90.00
_cell_angle_beta 90.00
_cell_angle_gamma 120.00
loop_
_atom_site_label
_atom_site_type_symbol
_atom_site_fract_x
_atom_site_fract_y
_atom_site_fract_z
Sc1 Sc 0.0000 0.6923 0.0000
Sc2 Sc 0.3333 0.6667 0.5000
Be1 Be 0.0000 0.0000 0.5000
```

=====

A relaxed structure of CoTcNi2N. Source: Alexandria, functional PBE-GGA.

Summary:
Raw total energy, eV per cell: -36.60
Energy relative to the elements, uncorrected, eV/f.u.: 0.76

```
data_CoTcNi2N
_chemical_formula_sum 'Co1 Tc1 Ni2 N1'
_space_group_name_H-M_alt 'P 4/m m m'
_space_group_IT_number 123
_space_group_name_Hall '-P 4 2'
_cell_length_a 3.760
_cell_length_b 3.760
_cell_length_c 3.965
_cell_angle_alpha 90.00
_cell_angle_beta 90.00
_cell_angle_gamma 90.00
loop_
_atom_site_label
_atom_site_type_symbol
_atom_site_fract_x
_atom_site_fract_y
_atom_site_fract_z
Co1 Co 0.000 0.000 0.000
Tc1 Tc 0.500 0.500 0.000
Ni1 Ni 0.000 0.500 0.500
N1 N 0.500 0.500 0.500
```

=====

A relaxed structure of Ac2ZnSi3Pt4. Source: Alexandria, functional PBE-GGA.

Summary:
Raw total energy, eV per cell: -60.04
Energy relative to the elements, uncorrected, eV/f.u.: -10.12

```
data_Ac2ZnSi3Pt4
_chemical_formula_sum 'Ac2 Zn1 Si3 Pt4'
_space_group_name_H-M_alt 'P -4 m 2'
_space_group_IT_number 115
_cell_length_a 4.407
_cell_length_b 4.407
_cell_length_c 10.093
_cell_angle_alpha 90.00
_cell_angle_beta 90.00
_cell_angle_gamma 90.00
loop_
_space_group_symop_operation_xyz
'x,y,z'
'y,-x,-z'
'-x,-y,z'
'-y,x,-z'
'-x,y,z'
'-y,-x,-z'
'x,-y,z'
'y,x,-z'
loop_
_atom_site_label
_atom_site_type_symbol
_atom_site_fract_x
_atom_site_fract_y
_atom_site_fract_z
Ac1 Ac 0.000 0.500 0.246
Zn1 Zn 0.500 0.500 0.000
Si1 Si 0.000 0.000 0.000
Si2 Si 0.000 0.500 0.623
Pt1 Pt 0.000 0.000 0.500
Pt2 Pt 0.000 0.500 0.868
Pt3 Pt 0.500 0.500 0.500
```

=====

- Which value of raw total energy does entry 4 give?
  -19.38 eV per cell

=====

- Which value of raw total energy does entry 3 give?
  -129.16 eV per cell